This record from Alexandria describes a geometry-optimized AcH12Pd7 structure. The functional is PBE.

Lattice parameters (Å, degrees): 9.8621 5.9487 5.9487 87.60 56.45 123.55
With the nearest neighbours (Å) after each atom.
Sites, in units of the cell vectors:
Pd (0.1872, 0.0434, 0.3184)  3 H 1.74-1.82
Pd (0.5000, 0.0000, 0.0000)  6 H 1.80
H (0.8006, 0.2499, 0.6914)  3 Pd 1.80-1.97
H (0.4388, 0.3411, 0.4201)  2 Pd 1.74-1.78
H (0.9023, 0.7612, 0.6589)  2 Pd 1.74-1.78
Pd (0.8128, 0.9566, 0.6816)  3 H 1.74-1.82
H (0.1994, 0.7501, 0.3086)  3 Pd 1.80-1.97
Pd (0.1438, 0.6381, 0.0434)  3 H 1.74-1.82
H (0.5507, 0.0587, 0.2499)  3 Pd 1.80-1.97
H (0.5612, 0.6589, 0.5799)  2 Pd 1.74-1.78
H (0.0977, 0.2388, 0.3411)  2 Pd 1.74-1.78
H (0.4920, 0.6914, 0.0587)  3 Pd 1.80-1.97
Pd (0.8562, 0.3619, 0.9566)  3 H 1.74-1.82
Pd (0.4944, 0.6816, 0.3619)  3 H 1.74-1.82
H (0.8589, 0.4201, 0.2388)  2 Pd 1.74-1.78
Ac (0.0000, 0.0000, 0.0000)  6 H 2.82
H (0.4493, 0.9413, 0.7501)  3 Pd 1.80-1.97
H (0.5080, 0.3086, 0.9413)  3 Pd 1.80-1.97
H (0.1411, 0.5799, 0.7612)  2 Pd 1.74-1.78
Pd (0.5056, 0.3184, 0.6381)  3 H 1.74-1.82

Output
D(E_F)	1.51	states/eV/f.u.
V	209.94	Å³ per cell
SG	R-3
DFT total energy	-4.16	eV/atom
density	7.8	g cm⁻³